Entry from Alexandria via LeMat-Bulk: crystalline Ce2GaBRh6 at its relaxed geometry (PBE).

Cell: 5.881 5.893 5.908 Å, 68.52 68.70 68.82°
Space group P-1 (No. 2)
Symmetry-distinct sites (fractional):
Ce 0.235 0.236 0.237 x2
Ga 0.000 0.000 0.000 x1
B 0.500 0.500 0.500 x1
Rh 0.265 0.262 0.685 x2
Rh 0.267 0.689 0.261 x2
Rh 0.306 0.734 0.736 x2

Its size of the total moment is 0.26 μB per cell. As for the density of states at the Fermi level: 0.50 states/eV per atom. For the uncorrected energy, the calculation gives -71.81 eV/cell. The calculation puts the formation energy at -613 meV per atom.